Entry from Alexandria: a relaxed Pa2TaGe crystal (PBE-GGA).

## Properties
* total energy: -8.94 eV per atom
* formation energy: -7 kJ per mole of atoms
* space-group type: No. 123

The structure in CIF format:
```
data_Pa2TaGe
_chemical_formula_sum 'Pa2 Ta1 Ge1'
_space_group_name_H-M_alt 'P 1'
_space_group_IT_number 1
_space_group_name_Hall 'P 1'
_cell_length_a 3.7821
_cell_length_b 3.7821
_cell_length_c 6.1995
_cell_angle_alpha 90.00
_cell_angle_beta 90.00
_cell_angle_gamma 90.00
loop_
_atom_site_label
_atom_site_fract_x
_atom_site_fract_y
_atom_site_fract_z
Pa1 0.0000 0.0000 0.2292
Pa2 0.0000 0.0000 0.7708
Ta1 0.5000 0.5000 0.5000
Ge1 0.5000 0.5000 0.0000
```



Entry from Alexandria: a relaxed MnGaAs2Se crystal (PBE-GGA).

## Properties
* total energy: -4.24 eV per atom
* formation energy (no corrections): 3.78 eV/f.u.
* space-group type: No. 123

The structure in CIF format:
```
data_MnGaAs2Se
_chemical_formula_sum 'Mn1 Ga1 As2 Se1'
_space_group_name_H-M_alt 'P 1'
_space_group_IT_number 1
_space_group_name_Hall 'P 1'
_cell_length_a 4.8049
_cell_length_b 4.8049
_cell_length_c 4.9683
_cell_angle_alpha 90.00
_cell_angle_beta 90.00
_cell_angle_gamma 90.00
loop_
_atom_site_label
_atom_site_fract_x
_atom_site_fract_y
_atom_site_fract_z
Mn1 0.0000 0.0000 0.0000
Ga1 0.5000 0.5000 0.5000
As1 0.0000 0.5000 0.5000
As2 0.5000 0.0000 0.5000
Se1 0.5000 0.5000 0.0000
```



Entry from Alexandria: a relaxed Er2Tl2Ru crystal (PBE-GGA).

## Properties
* total energy: -4.95 eV per atom
* formation energy: -31 kJ per mole of atoms
* space-group type: No. 139

The structure in CIF format:
```
data_Er2Tl2Ru
_chemical_formula_sum 'Er2 Tl2 Ru1'
_space_group_name_H-M_alt 'P 1'
_space_group_IT_number 1
_space_group_name_Hall 'P 1'
_cell_length_a 11.1526
_cell_length_b 11.1526
_cell_length_c 11.1526
_cell_angle_alpha 162.61
_cell_angle_beta 162.61
_cell_angle_gamma 24.68
loop_
_atom_site_label
_atom_site_fract_x
_atom_site_fract_y
_atom_site_fract_z
Er1 0.0757 0.0757 0.0000
Er2 0.9243 0.9243 0.0000
Tl1 0.3058 0.3058 0.0000
Tl2 0.6942 0.6942 0.0000
Ru1 0.5000 0.5000 0.0000
```



Entry from Alexandria: a relaxed KTiSbTe2 crystal (PBE-GGA).

## Properties
* total energy: -4.31 eV per atom
* formation energy (no corrections): -2.13 eV/f.u.
* space-group type: No. 123

The structure in CIF format:
```
data_KTiSbTe2
_chemical_formula_sum 'K1 Ti1 Sb1 Te2'
_space_group_name_H-M_alt 'P 1'
_space_group_IT_number 1
_space_group_name_Hall 'P 1'
_cell_length_a 5.4840
_cell_length_b 5.4840
_cell_length_c 5.3612
_cell_angle_alpha 90.00
_cell_angle_beta 90.00
_cell_angle_gamma 90.00
loop_
_atom_site_label
_atom_site_fract_x
_atom_site_fract_y
_atom_site_fract_z
K1 0.0000 0.0000 0.0000
Ti1 0.5000 0.5000 0.5000
Sb1 0.5000 0.5000 0.0000
Te1 0.0000 0.5000 0.5000
Te2 0.5000 0.0000 0.5000
```



Entry from Alexandria: a relaxed NaInAsSe3 crystal (PBE-GGA).

## Properties
* total energy: -3.62 eV per atom
* formation energy (no corrections): -2.54 eV/f.u.
* space-group type: No. 11

The structure in CIF format:
```
data_NaInAsSe3
_chemical_formula_sum 'Na2 In2 As2 Se6'
_space_group_name_H-M_alt 'P 1'
_space_group_IT_number 1
_space_group_name_Hall 'P 1'
_cell_length_a 8.2644
_cell_length_b 3.9634
_cell_length_c 11.2053
_cell_angle_alpha 90.00
_cell_angle_beta 96.38
_cell_angle_gamma 90.00
loop_
_atom_site_label
_atom_site_fract_x
_atom_site_fract_y
_atom_site_fract_z
Na1 0.1900 0.2500 0.1130
Na2 0.8100 0.7500 0.8870
In1 0.0821 0.2500 0.6240
In2 0.9179 0.7500 0.3760
As1 0.3409 0.7500 0.8685
As2 0.6591 0.2500 0.1315
Se1 0.0649 0.2500 0.8491
Se2 0.2152 0.7500 0.5126
Se3 0.4674 0.7500 0.1469
Se4 0.5326 0.2500 0.8531
Se5 0.7848 0.2500 0.4874
Se6 0.9351 0.7500 0.1509
```



Entry from Alexandria: a relaxed CrTc3 crystal (PBE-GGA).

## Properties
* total energy: -10.03 eV per atom
* formation energy: 14 kJ per mole of atoms
* space-group type: No. 12

The structure in CIF format:
```
data_CrTc3
_chemical_formula_sum 'Cr1 Tc3'
_space_group_name_H-M_alt 'P 1'
_space_group_IT_number 1
_space_group_name_Hall 'P 1'
_cell_length_a 4.6791
_cell_length_b 4.6791
_cell_length_c 4.6806
_cell_angle_alpha 100.06
_cell_angle_beta 100.06
_cell_angle_gamma 33.77
loop_
_atom_site_label
_atom_site_fract_x
_atom_site_fract_y
_atom_site_fract_z
Cr1 0.0000 0.0000 0.0000
Tc1 0.2536 0.2536 0.7555
Tc2 0.5000 0.5000 0.5000
Tc3 0.7464 0.7464 0.2445
```